[1]
A relaxed structure of Te2PtIO. Source: Alexandria, functional GGA-PBEsol.

Computed properties:
Formation energy (no corrections), kJ/mol of atoms: 82.99
Final energy, eV for the cell shown: -16.73
Total magnetization, μB/f.u.: 1.4
Mass density, kg/m³: 6681

a b c (Å): 5.2001 5.2001 5.4522
angles (deg): 90.00 90.00 90.00
Sites, in units of the cell vectors:
Te: 0.0000 0.5000 0.0000
Te: 0.5000 0.0000 0.0000
Pt: 0.0000 0.0000 0.0000
I: 0.0000 0.0000 0.5000
O: 0.5000 0.5000 0.5000

=====

[2]
A relaxed structure of PtWIO2. Source: Alexandria, functional GGA-PBEsol.

Computed properties:
Formation energy (no corrections), kJ/mol of atoms: -64.33
Final energy, eV for the cell shown: -36.37
Total magnetization, μB/f.u.: 0.0
Mass density, kg/m³: 10548

a b c (Å): 3.8007 3.8007 5.8612
angles (deg): 90.00 90.00 90.00
Sites, in units of the cell vectors:
Pt: 0.0000 0.0000 0.0000
W: 0.5000 0.5000 0.5000
I: 0.5000 0.5000 0.0000
O: 0.0000 0.5000 0.5000
O: 0.5000 0.0000 0.5000

=====

[3]
A relaxed structure of PuI4O12. Source: Alexandria, functional GGA-PBEsol.

Computed properties:
Formation energy (no corrections), kJ/mol of atoms: -73.11
Final energy, eV for the cell shown: -196.19
Total magnetization, μB/f.u.: 4.0
Mass density, kg/m³: 6285

a b c (Å): 9.7315 9.7315 5.2648
angles (deg): 90.00 90.00 90.00
Sites, in units of the cell vectors:
Pu: 0.2500 0.2500 0.2500
Pu: 0.7500 0.7500 0.7500
I: 0.0267 0.7513 0.2187
I: 0.2487 0.5267 0.7187
I: 0.2513 0.9733 0.7187
I: 0.4733 0.7487 0.2187
I: 0.5267 0.2513 0.7813
I: 0.7487 0.0267 0.2813
I: 0.7513 0.4733 0.2813
I: 0.9733 0.2487 0.7813
O: 0.0572 0.3367 0.0484
O: 0.0976 0.3272 0.5538
O: 0.1261 0.8371 0.7625
O: 0.1633 0.0572 0.4516
O: 0.1629 0.6261 0.2625
O: 0.1728 0.0976 0.9462
O: 0.3272 0.4024 0.9462
O: 0.3367 0.4428 0.4516
O: 0.3371 0.8739 0.2625
O: 0.3739 0.6629 0.7625
O: 0.4024 0.1728 0.5538
O: 0.4428 0.1633 0.0484
O: 0.5572 0.8367 0.9516
O: 0.5976 0.8272 0.4462
O: 0.6261 0.3371 0.2375
O: 0.6629 0.1261 0.7375
O: 0.6633 0.5572 0.5484
O: 0.6728 0.5976 0.0538
O: 0.8272 0.9024 0.0538
O: 0.8371 0.3739 0.7375
O: 0.8367 0.9428 0.5484
O: 0.8739 0.1629 0.2375
O: 0.9024 0.6728 0.4462
O: 0.9428 0.6633 0.9516

=====

[4]
A relaxed structure of Rb3IO5. Source: Alexandria, functional GGA-PBEsol.

Computed properties:
Formation energy (no corrections), kJ/mol of atoms: -111.26
Final energy, eV for the cell shown: -82.93
Total magnetization, μB/f.u.: 0.0
Mass density, kg/m³: 4439

a b c (Å): 6.3017 6.3017 8.7595
angles (deg): 90.00 90.00 85.25
Sites, in units of the cell vectors:
Rb: 0.2030 0.7970 0.7500
Rb: 0.2669 0.2669 0.0000
Rb: 0.2669 0.2669 0.5000
Rb: 0.7331 0.7331 0.0000
Rb: 0.7331 0.7331 0.5000
Rb: 0.7970 0.2030 0.2500
I: 0.2628 0.7372 0.2500
I: 0.7372 0.2628 0.7500
O: 0.0562 0.5401 0.2500
O: 0.1634 0.8366 0.0633
O: 0.1634 0.8366 0.4367
O: 0.4599 0.9438 0.2500
O: 0.4787 0.5213 0.2500
O: 0.5213 0.4787 0.7500
O: 0.5401 0.0562 0.7500
O: 0.8366 0.1634 0.5633
O: 0.8366 0.1634 0.9367
O: 0.9438 0.4599 0.7500

=====

[5]
A relaxed structure of Rb3IO. Source: Alexandria, functional GGA-PBEsol.

Computed properties:
Formation energy (no corrections), kJ/mol of atoms: -115.70
Final energy, eV for the cell shown: -96.53
Total magnetization, μB/f.u.: 0.1
Mass density, kg/m³: 3827

a b c (Å): 7.8280 7.8280 19.5910
angles (deg): 90.00 90.00 120.00
Sites, in units of the cell vectors:
Rb: 0.0367 0.5183 0.2500
Rb: 0.1660 0.3319 0.0812
Rb: 0.1660 0.3319 0.4188
Rb: 0.1660 0.8340 0.0812
Rb: 0.1660 0.8340 0.4188
Rb: 0.3319 0.1660 0.5812
Rb: 0.3319 0.1660 0.9188
Rb: 0.4817 0.5183 0.2500
Rb: 0.4817 0.9633 0.2500
Rb: 0.5183 0.0367 0.7500
Rb: 0.5183 0.4817 0.7500
Rb: 0.6681 0.8340 0.0812
Rb: 0.6681 0.8340 0.4188
Rb: 0.8340 0.1660 0.5812
Rb: 0.8340 0.1660 0.9188
Rb: 0.8340 0.6681 0.5812
Rb: 0.8340 0.6681 0.9188
Rb: 0.9633 0.4817 0.7500
I: 0.0000 0.0000 0.2500
I: 0.0000 0.0000 0.7500
I: 0.3333 0.6667 0.5848
I: 0.3333 0.6667 0.9152
I: 0.6667 0.3333 0.0848
I: 0.6667 0.3333 0.4152
O: 0.0000 0.0000 0.0000
O: 0.0000 0.0000 0.5000
O: 0.3333 0.6667 0.1600
O: 0.3333 0.6667 0.3400
O: 0.6667 0.3333 0.6600
O: 0.6667 0.3333 0.8400

=====

[6]
A relaxed structure of RbRuI2O. Source: Alexandria, functional GGA-PBEsol.

Computed properties:
Formation energy (no corrections), kJ/mol of atoms: 125.09
Final energy, eV for the cell shown: -13.50
Total magnetization, μB/f.u.: 3.7
Mass density, kg/m³: 4664

a b c (Å): 6.2784 6.2784 4.1220
angles (deg): 90.00 90.00 90.00
Sites, in units of the cell vectors:
Rb: 0.0000 0.0000 0.0000
Ru: 0.5000 0.5000 0.5000
I: 0.0000 0.5000 0.0000
I: 0.5000 0.0000 0.0000
O: 0.0000 0.0000 0.5000